Entry 1:
{"formula": "CuRh", "functional": "PBE-GGA", "state": "optimized geometry", "cell": [[-0.975, -6.161, 2.949], [6.110, 1.555, -2.802], [1.293, 1.559, 3.686]], "species": ["Cu", "Cu", "Cu", "Cu", "Cu", "Cu", "Rh", "Rh", "Rh", "Rh", "Rh", "Rh"], "frac_coords": [[0.765, 0.950, 0.250], [0.815, 0.765, 0.750], [0.050, 0.815, 0.250], [0.235, 0.050, 0.750], [0.185, 0.235, 0.250], [0.950, 0.185, 0.750], [0.903, 0.388, 0.250], [0.516, 0.903, 0.750], [0.612, 0.516, 0.250], [0.097, 0.612, 0.750], [0.484, 0.097, 0.250], [0.388, 0.484, 0.750]], "energy_ev_per_atom": -5.44, "m_tot_mub_per_cell": 0.05}

Entry 2:
{"formula": "Hg4AsBr2", "functional": "PBE-GGA", "state": "optimized geometry", "cell": [[7.261, 0.000, 1.042], [0.000, 7.173, 0.000], [-1.523, 0.000, 8.368]], "species": ["Hg", "Hg", "Hg", "Hg", "Hg", "Hg", "Hg", "Hg", "As", "As", "Br", "Br", "Br", "Br"], "frac_coords": [[0.565, 0.444, 0.330], [0.222, 0.750, 0.928], [0.778, 0.250, 0.072], [0.565, 0.056, 0.330], [0.880, 0.250, 0.639], [0.435, 0.944, 0.670], [0.435, 0.556, 0.670], [0.120, 0.750, 0.361], [0.414, 0.750, 0.213], [0.586, 0.250, 0.787], [0.863, 0.750, 0.066], [0.137, 0.250, 0.934], [0.124, 0.250, 0.427], [0.876, 0.750, 0.573]], "energy_ev_per_atom": -1.45, "m_tot_mub_per_cell": 0.00}

Entry 3:
{"formula": "Hf2Mg2H", "functional": "PBE-GGA", "state": "optimized geometry", "cell": [[-5.549, 0.302, -1.957], [1.109, -4.351, -3.815], [-1.523, -3.678, 3.752]], "species": ["H", "H", "Mg", "Mg", "Mg", "Mg", "Hf", "Hf", "Hf", "Hf"], "frac_coords": [[0.000, 0.000, 0.000], [0.500, 0.500, 0.000], [0.165, 0.665, 0.500], [0.665, 0.835, 0.500], [0.835, 0.335, 0.500], [0.335, 0.165, 0.500], [0.333, 0.833, 0.000], [0.833, 0.667, 0.000], [0.667, 0.167, 0.000], [0.167, 0.333, 0.000]], "energy_ev_per_atom": -5.19, "m_tot_mub_per_cell": 0.00}

Entry 4:
{"formula": "Ge2PbAu2", "functional": "PBE-GGA", "state": "optimized geometry", "cell": [[-4.111, 4.083, -5.675], [0.908, -6.216, -5.130], [-2.778, -1.297, 1.079]], "species": ["Pb", "Pb", "Ge", "Ge", "Ge", "Ge", "Au", "Au", "Au", "Au"], "frac_coords": [[0.000, 0.000, 0.000], [0.500, 0.500, 0.000], [0.150, 0.650, 0.500], [0.650, 0.850, 0.500], [0.850, 0.350, 0.500], [0.350, 0.150, 0.500], [0.358, 0.858, 0.000], [0.858, 0.642, 0.000], [0.642, 0.142, 0.000], [0.142, 0.358, 0.000]], "energy_ev_per_atom": -3.81, "m_tot_mub_per_cell": 0.00}

Entry 5:
{"formula": "AgBi2Rh", "functional": "PBE-GGA", "state": "optimized geometry", "cell": [[3.439, 0.000, 0.000], [0.000, 3.439, 0.000], [0.000, 0.000, 7.649]], "species": ["Rh", "Bi", "Bi", "Ag"], "frac_coords": [[0.500, 0.500, 0.000], [0.000, 0.000, 0.780], [0.000, 0.000, 0.220], [0.500, 0.500, 0.500]], "energy_ev_per_atom": -4.49, "m_tot_mub_per_cell": 0.00}

Entry 6:
{"formula": "Pr3EuP", "functional": "PBE-GGA", "state": "optimized geometry", "cell": [[-3.416, -2.253, 3.969], [4.554, -2.009, 2.779], [0.300, 4.836, 3.004]], "species": ["Eu", "Pr", "Pr", "Pr", "P"], "frac_coords": [[0.500, 0.500, 0.500], [0.000, 0.500, 0.000], [0.000, 0.000, 0.500], [0.500, 0.000, 0.000], [0.000, 0.000, 0.000]], "energy_ev_per_atom": -6.42, "m_tot_mub_per_cell": 8.37}

| no. | V (Å³/atom) |
| --- | --- |
| 1 | 14.449 |
| 2 | 31.940 |
| 3 | 18.988 |
| 4 | 21.376 |
| 5 | 22.620 |
| 6 | 37.055 |